{
  "formula": "TbY6Cd",
  "functional": "GGA-PBE",
  "state": "optimized geometry",
  "cell": [[9.303, 0.008, 0.132], [4.652, 7.209, -0.209], [4.599, 2.246, 3.722]],
  "species": ["Y", "Y", "Y", "Y", "Y", "Y", "Tb", "Cd"],
  "frac_coords": [[0.041, 0.449, 0.751], [0.759, 0.959, 0.731], [0.551, 0.241, 0.167], [0.241, 0.041, 0.269], [0.959, 0.551, 0.249], [0.449, 0.759, 0.833], [0.500, 0.500, 0.500], [0.000, 0.000, 0.000]],
  "volume_a3_per_atom": 31.4,
  "ef_ev_per_atom": 0.037,
  "crystal_system": "trigonal"
}

{
  "formula": "Ti2SbIr",
  "functional": "GGA-PBE",
  "state": "optimized geometry",
  "cell": [[7.293, 0.000, 0.000], [0.000, 7.293, 0.000], [3.647, 3.647, 2.864]],
  "species": ["Sb", "Sb", "Ti", "Ti", "Ti", "Ti", "Ir", "Ir"],
  "frac_coords": [[0.500, 0.500, 0.000], [0.250, 0.750, 0.500], [0.084, 0.625, 0.250], [0.875, 0.916, 0.750], [0.375, 0.334, 0.750], [0.666, 0.125, 0.250], [0.750, 0.250, 0.500], [0.000, 0.000, 0.000]],
  "raw_formation_energy_ev_per_atom": -0.23,
  "volume_a3_per_atom": 19.0,
  "crystal_system": "tetragonal"
}

{
  "formula": "Nd2InPt",
  "functional": "GGA-PBE",
  "state": "optimized geometry",
  "cell": [[-0.376, -3.239, -4.182], [3.698, 0.134, -3.798], [3.394, -4.039, -0.540]],
  "species": ["Nd", "Nd", "Pt", "In"],
  "frac_coords": [[0.250, 0.250, 0.250], [0.750, 0.750, 0.750], [0.500, 0.500, 0.500], [0.000, 0.000, 0.000]],
  "relative_energy_mev_per_atom": 123,
  "volume_a3_per_atom": 26.4,
  "ef_ev_per_atom": -0.639,
  "crystal_system": "cubic"
}

{
  "formula": "Ba2InHg3",
  "functional": "GGA-PBE",
  "state": "optimized geometry",
  "cell": [[-2.422, -3.224, -5.353], [4.028, -5.335, -0.470], [-6.452, -0.463, 8.324]],
  "species": ["Hg", "Hg", "Hg", "Hg", "Hg", "Hg", "Ba", "Ba", "Ba", "Ba", "In", "In"],
  "frac_coords": [[0.169, 0.169, 0.832], [0.831, 0.831, 0.168], [0.169, 0.169, 0.338], [0.663, 0.663, 0.832], [0.831, 0.831, 0.662], [0.337, 0.337, 0.168], [0.750, 0.250, 0.500], [0.241, 0.759, 0.000], [0.759, 0.241, 0.000], [0.250, 0.750, 0.500], [0.666, 0.666, 0.331], [0.334, 0.334, 0.669]],
  "volume_a3_per_atom": 33.4,
  "ef_ev_per_atom": -0.472,
  "crystal_system": "orthorhombic"
}

{
  "formula": "SiBAsRhS",
  "functional": "GGA-PBE",
  "state": "optimized geometry",
  "cell": [[3.489, 0.018, -0.008], [-0.813, 4.392, 0.026], [-1.510, -1.683, 5.107]],
  "species": ["Si", "S", "As", "B", "Rh"],
  "frac_coords": [[0.381, 0.279, 0.274], [0.980, 0.785, 0.172], [0.282, 0.185, 0.796], [0.853, 0.482, 0.843], [0.046, 0.576, 0.529]],
  "raw_formation_energy_ev_per_atom": -0.10,
  "relative_energy_mev_per_atom": 104,
  "volume_a3_per_atom": 15.7,
  "crystal_system": "triclinic"
}

{
  "formula": "CdTcNi",
  "functional": "GGA-PBE",
  "state": "optimized geometry",
  "cell": [[-1.736, -0.289, -3.765], [2.352, -0.881, -3.311], [-0.330, -3.703, -1.857]],
  "species": ["Cd", "Ni", "Tc"],
  "frac_coords": [[0.500, 0.500, 0.500], [0.750, 0.750, 0.750], [0.000, 0.000, 0.000]],
  "relative_energy_mev_per_atom": 524,
  "volume_a3_per_atom": 16.9,
  "ef_ev_per_atom": 0.624,
  "crystal_system": "cubic"
}

{
  "formula": "YCu2Ag",
  "functional": "GGA-PBE",
  "state": "optimized geometry",
  "cell": [[5.046, 0.109, 0.000], [1.440, 4.838, 0.000], [-3.243, -2.473, 2.973]],
  "species": ["Cu", "Cu", "Y", "Ag"],
  "frac_coords": [[0.000, 0.000, 0.000], [0.250, 0.750, 0.500], [0.500, 0.500, 0.000], [0.750, 0.250, 0.500]],
  "relative_energy_mev_per_atom": 63,
  "volume_a3_per_atom": 18.0,
  "ef_ev_per_atom": -0.079,
  "crystal_system": "tetragonal"
}

{
  "formula": "KCd2Hg4",
  "functional": "GGA-PBE",
  "state": "optimized geometry",
  "cell": [[-3.034, 4.505, 2.437], [-6.393, -0.498, 0.233], [-1.137, -0.246, 6.311]],
  "species": ["Cd", "Cd", "Hg", "Hg", "Hg", "Hg", "K"],
  "frac_coords": [[0.750, 0.500, 0.500], [0.250, 0.500, 0.500], [0.305, 0.390, 0.000], [0.695, 0.610, 0.000], [0.305, 0.000, 0.390], [0.695, 0.000, 0.610], [0.000, 0.000, 0.000]],
  "relative_energy_mev_per_atom": 0,
  "volume_a3_per_atom": 27.5,
  "ef_ev_per_atom": -0.124,
  "crystal_system": "tetragonal"
}

{
  "formula": "Pr6CoIr2Cl3",
  "functional": "GGA-PBE",
  "state": "optimized geometry",
  "cell": [[-0.609, -0.239, 7.091], [-5.198, -2.599, -4.115], [5.285, -5.868, -0.929]],
  "species": ["Cl", "Cl", "Cl", "Pr", "Pr", "Pr", "Pr", "Pr", "Pr", "Ir", "Ir", "Co"],
  "frac_coords": [[0.500, 0.500, 0.500], [0.162, 0.838, 0.500], [0.838, 0.162, 0.500], [0.067, 0.391, 0.203], [0.933, 0.609, 0.797], [0.391, 0.067, 0.203], [0.743, 0.743, 0.203], [0.609, 0.933, 0.797], [0.257, 0.257, 0.797], [0.667, 0.333, 0.000], [0.333, 0.667, 0.000], [0.000, 0.000, 0.000]],
  "raw_formation_energy_ev_per_atom": -1.06,
  "volume_a3_per_atom": 27.8,
  "crystal_system": "monoclinic"
}

{
  "formula": "NaAlAs2Br",
  "functional": "GGA-PBE",
  "state": "optimized geometry",
  "cell": [[-3.482, -3.712, 1.095], [2.969, -3.507, -2.447], [2.603, -1.062, 4.679]],
  "species": ["Na", "As", "As", "Al", "Br"],
  "frac_coords": [[0.000, 0.000, 0.000], [0.500, 0.000, 0.000], [0.000, 0.500, 0.000], [0.500, 0.500, 0.500], [0.000, 0.000, 0.500]],
  "raw_formation_energy_ev_per_atom": 0.76,
  "relative_energy_mev_per_atom": 846,
  "volume_a3_per_atom": 29.6,
  "crystal_system": "tetragonal"
}

{
  "formula": "Cu4ReCl",
  "functional": "GGA-PBE",
  "state": "optimized geometry",
  "cell": [[2.186, 1.985, 3.938], [1.055, 4.807, 0.068], [-2.520, 3.031, 2.948]],
  "species": ["Cu", "Cu", "Cu", "Cu", "Cl", "Re"],
  "frac_coords": [[0.874, 0.375, 0.375], [0.375, 0.874, 0.375], [0.375, 0.375, 0.874], [0.375, 0.375, 0.375], [0.000, 0.000, 0.000], [0.750, 0.750, 0.750]],
  "raw_formation_energy_ev_per_atom": 0.79,
  "volume_a3_per_atom": 14.1,
  "crystal_system": "cubic"
}

{
  "formula": "Pm4NdCd5",
  "functional": "GGA-PBE",
  "state": "optimized geometry",
  "cell": [[-0.926, -3.700, -0.454], [3.293, -0.592, -1.886], [8.710, -4.208, 16.530]],
  "species": ["Cd", "Cd", "Cd", "Cd", "Cd", "Nd", "Pm", "Pm", "Pm", "Pm"],
  "frac_coords": [[0.500, 0.500, 0.898], [0.500, 0.500, 0.699], [0.500, 0.500, 0.301], [0.500, 0.500, 0.102], [0.500, 0.500, 0.500], [0.000, 0.000, 0.000], [0.000, 0.000, 0.600], [0.000, 0.000, 0.799], [0.000, 0.000, 0.201], [0.000, 0.000, 0.400]],
  "volume_a3_per_atom": 28.3,
  "ef_ev_per_atom": -0.319,
  "crystal_system": "tetragonal"
}